# MoPbNF2

An optimized crystal structure of MoPbNF2 (GGA+U, Alexandria).

Structure (extended XYZ):
```
5
Lattice="4.2934 0.0000 0.0000 0.0000 4.2934 0.0000 0.0000 0.0000 4.2199" Properties=species:S:1:pos:R:3 pbc="T T T"
Pb 2.1467 2.1467 2.1099
Mo 0.0000 0.0000 0.0000
N 0.0000 0.0000 2.1099
F 0.0000 2.1467 0.0000
F 2.1467 0.0000 0.0000
```

Values from the calculation:
Total DFT energy (no corrections)   -0.4035 Ry/atom
Size of the total moment   2.72 μB/f.u.